Mg2SnWO6 | PBE+U | optimized geometry

abc: 5.5665 5.6053 9.7858
angles: 90.00 124.24 90.00
Fractional positions:
Mg 0.1822 0.0113 0.2168
Mg 0.1822 0.4887 0.7168
Mg 0.8178 0.5113 0.2832
Mg 0.8178 0.9887 0.7832
Sn 0.0000 0.0000 0.5000
Sn 0.0000 0.5000 0.0000
W 0.5000 0.0000 0.0000
W 0.5000 0.5000 0.5000
O 0.1663 0.1460 0.7906
O 0.1663 0.3540 0.2906
O 0.2172 0.6317 0.5352
O 0.2172 0.8683 0.0352
O 0.4906 0.7142 0.8847
O 0.4906 0.7858 0.3847
O 0.5094 0.2142 0.6153
O 0.5094 0.2858 0.1153
O 0.7828 0.1317 0.9648
O 0.7828 0.3683 0.4648
O 0.8337 0.6460 0.7094
O 0.8337 0.8540 0.2094

E above lowest polymorph ... 19 meV per atom
SG ... P2_1/c, No. 14